First-principles (PBE) data for a relaxed Ta2TiO6 crystal, as listed in Alexandria via LeMat-Bulk.

The calculation puts the total magnetization at 1.58 μB/f.u. The formation energy (no corrections) is -2.766 eV/atom. Its total energy is -172.5 eV for the cell shown.

The space group is P4_2/mnm (No. 136) and the conventional cell measures 4.837, 4.837 and 9.067 Å, with angles of 90.00, 90.00 and 90.00 degrees. The inequivalent atoms are Ta at (0.000, 0.000, 0.170), Ti at (0.000, 0.000, 0.500), O at (0.196, 0.196, 0.000) and O at (0.204, 0.204, 0.330).



First-principles (PBE) data for a relaxed TaTi2O crystal, as listed in Alexandria via LeMat-Bulk.

The calculation puts the total magnetization at 0.00 μB/f.u. The formation energy (no corrections) is -1.229 eV/atom. Its total energy is -112.5 eV for the cell shown.

The space group is R3m (No. 160, hexagonal axes) and the conventional cell measures 2.9471, 2.9471 and 22.3012 Å, with angles of 90.00, 90.00 and 120.00 degrees. The inequivalent atoms are Ta at (0.0000, 0.0000, 0.0000), Ti at (0.0000, 0.0000, 0.2237), Ti at (0.0000, 0.0000, 0.4406) and O at (0.0000, 0.0000, 0.8304).



First-principles (PBE) data for a relaxed Ta2TiO6 crystal, as listed in Alexandria via LeMat-Bulk.

The calculation puts the total magnetization at 0.69 μB/f.u. The formation energy (no corrections) is -2.771 eV/atom. Its total energy is -345.1 eV for the cell shown.

The space group is C2/m (No. 12) and the conventional cell measures 9.081, 6.865 and 7.433 Å, with angles of 90.00, 114.85 and 90.00 degrees. The inequivalent atoms are Ta at (0.000, 0.000, 0.000), Ta at (0.000, 0.000, 0.500), Ta at (0.179, 0.500, 0.178), Ti at (0.153, 0.500, 0.652), O at (0.000, 0.300, 0.000), O at (0.067, 0.500, 0.358), O at (0.094, 0.000, 0.297), O at (0.172, 0.211, 0.670) and O at (0.229, 0.000, 0.029).



First-principles (PBE) data for a relaxed TaTi4O crystal, as listed in Alexandria via LeMat-Bulk.

The calculation puts the total magnetization at 0.00 μB/f.u. The formation energy (no corrections) is -0.888 eV/atom. Its total energy is -214.9 eV for the cell shown.

The space group is C2/c (No. 15) and the conventional cell measures 13.050, 5.268 and 5.537 Å, with angles of 90.00, 107.50 and 90.00 degrees. The inequivalent atoms are Ta at (0.000, 0.118, 0.250), Ti at (0.096, 0.397, 0.941), Ti at (0.204, 0.085, 0.642) and O at (0.250, 0.250, 0.000).